*A*
The following is a DFT calculation (GGA-PBE) of a relaxed structure of LaPm6Te8.

N(E_F): 9.08 states/eV/f.u.

abc: 8.370 8.370 8.370
angles: 69.29 69.29 69.29
Sites, in units of the cell vectors:
La (0.000, 0.000, 0.000)
Pm (0.080, 0.455, 0.694)
Pm (0.306, 0.920, 0.545)
Pm (0.455, 0.694, 0.080)
Pm (0.545, 0.306, 0.920)
Pm (0.694, 0.080, 0.455)
Pm (0.920, 0.545, 0.306)
Te (0.097, 0.807, 0.371)
Te (0.193, 0.629, 0.903)
Te (0.327, 0.327, 0.327)
Te (0.371, 0.097, 0.807)
Te (0.629, 0.903, 0.193)
Te (0.673, 0.673, 0.673)
Te (0.807, 0.371, 0.097)
Te (0.903, 0.193, 0.629)

=====

*B*
The following is a DFT calculation (GGA-PBE) of a relaxed structure of LaPm6Te8.

N(E_F): 7.62 states/eV/f.u.

abc: 8.917 8.917 8.917
angles: 60.00 60.00 60.00
Sites, in units of the cell vectors:
La (0.000, 0.000, 0.000)
Pm (0.000, 0.000, 0.500)
Pm (0.000, 0.500, 0.000)
Pm (0.000, 0.500, 0.500)
Pm (0.500, 0.000, 0.000)
Pm (0.500, 0.000, 0.500)
Pm (0.500, 0.500, 0.000)
Te (0.250, 0.250, 0.250)
Te (0.259, 0.259, 0.741)
Te (0.259, 0.741, 0.259)
Te (0.259, 0.741, 0.741)
Te (0.741, 0.259, 0.259)
Te (0.741, 0.259, 0.741)
Te (0.741, 0.741, 0.259)
Te (0.750, 0.750, 0.750)

=====

Which is the most stable structure? *B* is the most stable.

=====

*A*
The following is a DFT calculation (GGA-PBE) of a relaxed structure of La4Pm2Th.

N(E_F): 9.65 states/eV/f.u.

abc: 22.047 22.047 22.047
angles: 9.45 9.45 9.45
Sites, in units of the cell vectors:
La (0.142, 0.142, 0.142)
La (0.290, 0.290, 0.290)
La (0.710, 0.710, 0.710)
La (0.858, 0.858, 0.858)
Pm (0.237, 0.237, 0.237)
Pm (0.763, 0.763, 0.763)
Th (0.000, 0.000, 0.000)

=====

*B*
The following is a DFT calculation (GGA-PBE) of a relaxed structure of La4Pm2Th.

N(E_F): 10.67 states/eV/f.u.

abc: 8.332 8.332 3.573
angles: 90.00 90.00 90.00
Sites, in units of the cell vectors:
La (0.204, 0.204, 0.348)
La (0.204, 0.796, 0.652)
La (0.796, 0.204, 0.652)
La (0.796, 0.796, 0.348)
Pm (0.000, 0.500, 0.000)
Pm (0.500, 0.000, 0.000)
Th (0.500, 0.500, 0.500)

=====

Which is the most stable structure? *A* is the most stable.

=====

*A*
The following is a DFT calculation (GGA-PBE) of a relaxed structure of La5Pm4Th.

N(E_F): 18.79 states/eV/f.u.

abc: 3.680 3.680 26.177
angles: 90.00 90.00 90.00
Sites, in units of the cell vectors:
La (0.000, 0.000, 0.000)
La (0.000, 0.000, 0.200)
La (0.000, 0.000, 0.406)
La (0.000, 0.000, 0.594)
La (0.000, 0.000, 0.800)
Pm (0.500, 0.500, 0.100)
Pm (0.500, 0.500, 0.299)
Pm (0.500, 0.500, 0.701)
Pm (0.500, 0.500, 0.900)
Th (0.500, 0.500, 0.500)

=====

*B*
The following is a DFT calculation (GGA-PBE) of a relaxed structure of La5Pm4Th.

N(E_F): 16.92 states/eV/f.u.

abc: 6.603 6.754 8.747
angles: 70.01 77.71 86.12
Sites, in units of the cell vectors:
La (0.000, 0.000, 0.000)
La (0.228, 0.870, 0.565)
La (0.333, 0.313, 0.688)
La (0.667, 0.687, 0.312)
La (0.772, 0.130, 0.435)
Pm (0.187, 0.527, 0.317)
Pm (0.472, 0.209, 0.102)
Pm (0.528, 0.791, 0.898)
Pm (0.813, 0.473, 0.683)
Th (0.000, 0.500, 0.000)

=====

Which is the most stable structure? *A* is the most stable.

=====

*A*
The following is a DFT calculation (GGA-PBE) of a relaxed structure of LaPmTh2.

N(E_F): 6.46 states/eV/f.u.

abc: 12.729 12.729 12.729
angles: 15.95 15.95 15.95
Sites, in units of the cell vectors:
La (0.000, 0.000, 0.000)
Pm (0.500, 0.500, 0.500)
Th (0.088, 0.088, 0.088)
Th (0.912, 0.912, 0.912)

=====

*B*
The following is a DFT calculation (GGA-PBE) of a relaxed structure of LaPmTh2.

N(E_F): 11.41 states/eV/f.u.

abc: 5.754 5.754 5.754
angles: 60.00 60.00 60.00
Sites, in units of the cell vectors:
La (0.000, 0.000, 0.000)
Pm (0.500, 0.500, 0.500)
Th (0.250, 0.250, 0.250)
Th (0.750, 0.750, 0.750)

=====

*C*
The following is a DFT calculation (GGA-PBE) of a relaxed structure of LaPmTh2.

N(E_F): 6.78 states/eV/f.u.

abc: 5.083 5.116 10.382
angles: 90.00 90.06 90.00
Sites, in units of the cell vectors:
La (0.000, 0.250, 0.138)
La (0.000, 0.750, 0.862)
Pm (0.500, 0.250, 0.861)
Pm (0.500, 0.750, 0.139)
Th (0.000, 0.250, 0.618)
Th (0.000, 0.750, 0.382)
Th (0.500, 0.250, 0.385)
Th (0.500, 0.750, 0.615)

=====

Which is the most stable structure? *C* is the most stable.

=====

*A*
The following is a DFT calculation (GGA-PBE) of a relaxed structure of LaPmTh2.

N(E_F): 6.05 states/eV/f.u.

abc: 5.071 5.071 5.187
angles: 90.00 90.00 90.00
Sites, in units of the cell vectors:
La (0.000, 0.000, 0.000)
Pm (0.500, 0.500, 0.000)
Th (0.000, 0.500, 0.500)
Th (0.500, 0.000, 0.500)

=====

*B*
The following is a DFT calculation (GGA-PBE) of a relaxed structure of LaPmTh2.

N(E_F): 6.24 states/eV/f.u.

abc: 12.058 12.058 12.058
angles: 17.24 17.24 17.24
Sites, in units of the cell vectors:
La (0.000, 0.000, 0.000)
Pm (0.170, 0.170, 0.170)
Th (0.419, 0.419, 0.419)
Th (0.585, 0.585, 0.585)

=====

Which is the most stable structure? *B* is the most stable.

=====

*A*
The following is a DFT calculation (GGA-PBE) of a relaxed structure of La3Pm2Th.

N(E_F): 11.42 states/eV/f.u.

abc: 9.724 9.724 9.724
angles: 149.06 115.15 73.58
Sites, in units of the cell vectors:
La (0.000, 0.000, 0.000)
La (0.177, 0.669, 0.508)
La (0.340, 0.331, 0.008)
La (0.500, 0.000, 0.500)
La (0.660, 0.669, 0.992)
La (0.823, 0.331, 0.492)
Pm (0.083, 0.833, 0.250)
Pm (0.256, 0.506, 0.750)
Pm (0.744, 0.494, 0.250)
Pm (0.917, 0.167, 0.750)
Th (0.421, 0.171, 0.250)
Th (0.579, 0.829, 0.750)

=====

*B*
The following is a DFT calculation (GGA-PBE) of a relaxed structure of La3Pm2Th.

N(E_F): 10.37 states/eV/f.u.

abc: 3.658 3.658 15.741
angles: 90.00 90.00 90.00
Sites, in units of the cell vectors:
La (0.000, 0.000, 0.000)
La (0.000, 0.000, 0.344)
La (0.000, 0.000, 0.656)
Pm (0.500, 0.500, 0.165)
Pm (0.500, 0.500, 0.835)
Th (0.500, 0.500, 0.500)

=====

Which is the most stable structure? *B* is the most stable.

=====

*A*
The following is a DFT calculation (GGA-PBE) of a relaxed structure of La3PmTh.

N(E_F): 8.82 states/eV/f.u.

abc: 3.672 3.672 30.177
angles: 90.00 90.00 120.00
Sites, in units of the cell vectors:
La (0.000, 0.000, 0.000)
La (0.000, 0.000, 0.500)
La (0.333, 0.667, 0.106)
La (0.333, 0.667, 0.797)
La (0.667, 0.333, 0.297)
La (0.667, 0.333, 0.606)
Pm (0.333, 0.667, 0.402)
Pm (0.667, 0.333, 0.902)
Th (0.000, 0.000, 0.202)
Th (0.000, 0.000, 0.702)

=====

*B*
The following is a DFT calculation (GGA-PBE) of a relaxed structure of La3PmTh.

N(E_F): 8.48 states/eV/f.u.

abc: 14.276 6.988 7.093
angles: 90.00 90.00 90.00
Sites, in units of the cell vectors:
La (0.007, 0.250, 0.000)
La (0.007, 0.250, 0.500)
La (0.201, 0.515, 0.250)
La (0.201, 0.985, 0.750)
La (0.421, 0.742, 0.750)
La (0.421, 0.758, 0.250)
La (0.579, 0.242, 0.750)
La (0.579, 0.258, 0.250)
La (0.799, 0.015, 0.250)
La (0.799, 0.485, 0.750)
La (0.993, 0.750, 0.000)
La (0.993, 0.750, 0.500)
Pm (0.194, 0.018, 0.250)
Pm (0.194, 0.482, 0.750)
Pm (0.806, 0.518, 0.250)
Pm (0.806, 0.982, 0.750)
Th (0.380, 0.250, 0.000)
Th (0.380, 0.250, 0.500)
Th (0.620, 0.750, 0.000)
Th (0.620, 0.750, 0.500)

=====

Which is the most stable structure? *A* is the most stable.

=====

*A*
The following is a DFT calculation (GGA-PBE) of a relaxed structure of La2Pm4Th.

N(E_F): 10.61 states/eV/f.u.

abc: 9.218 9.218 9.218
angles: 136.94 99.70 95.79
Sites, in units of the cell vectors:
La (0.000, 0.000, 0.000)
La (0.476, 0.226, 0.250)
La (0.500, 0.000, 0.500)
La (0.524, 0.774, 0.750)
Pm (0.139, 0.647, 0.492)
Pm (0.261, 0.283, 0.522)
Pm (0.261, 0.738, 0.978)
Pm (0.346, 0.353, 0.992)
Pm (0.654, 0.647, 0.008)
Pm (0.739, 0.262, 0.022)
Pm (0.739, 0.717, 0.478)
Pm (0.861, 0.353, 0.508)
Th (0.000, 0.000, 0.500)
Th (0.000, 0.500, 0.000)

=====

*B*
The following is a DFT calculation (GGA-PBE) of a relaxed structure of La2Pm4Th.

N(E_F): 14.15 states/eV/f.u.

abc: 12.010 12.010 3.477
angles: 90.00 90.00 150.71
Sites, in units of the cell vectors:
La (0.216, 0.784, 0.000)
La (0.784, 0.216, 0.000)
Pm (0.075, 0.925, 0.500)
Pm (0.367, 0.633, 0.000)
Pm (0.633, 0.367, 0.000)
Pm (0.925, 0.075, 0.500)
Th (0.500, 0.500, 0.500)

=====

Which is the most stable structure? *B* is the most stable.

=====

*A*
The following is a DFT calculation (GGA-PBE) of a relaxed structure of La12Pm7Th.

N(E_F): 26.77 states/eV/f.u.

abc: 9.090 9.090 9.090
angles: 100.15 100.15 100.15
Sites, in units of the cell vectors:
La (0.000, 0.257, 0.743)
La (0.000, 0.743, 0.257)
La (0.159, 0.591, 0.591)
La (0.257, 0.000, 0.743)
La (0.257, 0.743, 0.000)
La (0.409, 0.409, 0.841)
La (0.409, 0.841, 0.409)
La (0.591, 0.159, 0.591)
La (0.591, 0.591, 0.159)
La (0.743, 0.000, 0.257)
La (0.743, 0.257, 0.000)
La (0.841, 0.409, 0.409)
Pm (0.149, 0.149, 0.406)
Pm (0.149, 0.406, 0.149)
Pm (0.406, 0.149, 0.149)
Pm (0.500, 0.500, 0.500)
Pm (0.594, 0.851, 0.851)
Pm (0.851, 0.594, 0.851)
Pm (0.851, 0.851, 0.594)
Th (0.000, 0.000, 0.000)

=====

*B*
The following is a DFT calculation (GGA-PBE) of a relaxed structure of La12Pm7Th.

N(E_F): 25.60 states/eV/f.u.

abc: 11.623 11.623 11.623
angles: 116.66 116.66 116.66
Sites, in units of the cell vectors:
La (0.001, 0.594, 0.407)
La (0.072, 0.429, 0.073)
La (0.073, 0.072, 0.429)
La (0.406, 0.593, 0.999)
La (0.407, 0.001, 0.594)
La (0.429, 0.073, 0.072)
La (0.571, 0.927, 0.928)
La (0.593, 0.999, 0.406)
La (0.594, 0.407, 0.001)
La (0.927, 0.928, 0.571)
La (0.928, 0.571, 0.927)
La (0.999, 0.406, 0.593)
Pm (0.000, 0.000, 0.000)
Pm (0.127, 0.380, 0.381)
Pm (0.380, 0.381, 0.127)
Pm (0.381, 0.127, 0.380)
Pm (0.619, 0.873, 0.620)
Pm (0.620, 0.619, 0.873)
Pm (0.873, 0.620, 0.619)
Th (0.500, 0.500, 0.500)

=====

Which is the most stable structure? *A* is the most stable.

=====

*A*
The following is a DFT calculation (GGA-PBE) of a relaxed structure of La7Pm12Th.

N(E_F): 33.50 states/eV/f.u.

abc: 8.924 8.924 8.924
angles: 90.87 90.87 90.87
Sites, in units of the cell vectors:
La (0.000, 0.000, 0.000)
La (0.122, 0.374, 0.446)
La (0.374, 0.446, 0.122)
La (0.446, 0.122, 0.374)
La (0.554, 0.878, 0.626)
La (0.626, 0.554, 0.878)
La (0.878, 0.626, 0.554)
Pm (0.040, 0.337, 0.938)
Pm (0.062, 0.960, 0.663)
Pm (0.218, 0.752, 0.362)
Pm (0.248, 0.638, 0.782)
Pm (0.337, 0.938, 0.040)
Pm (0.362, 0.218, 0.752)
Pm (0.638, 0.782, 0.248)
Pm (0.663, 0.062, 0.960)
Pm (0.752, 0.362, 0.218)
Pm (0.782, 0.248, 0.638)
Pm (0.938, 0.040, 0.337)
Pm (0.960, 0.663, 0.062)
Th (0.500, 0.500, 0.500)

=====

*B*
The following is a DFT calculation (GGA-PBE) of a relaxed structure of La7Pm12Th.

N(E_F): 38.71 states/eV/f.u.

abc: 10.073 10.073 10.073
angles: 109.47 109.47 109.47
Sites, in units of the cell vectors:
La (0.000, 0.000, 0.500)
La (0.000, 0.500, 0.000)
La (0.000, 0.500, 0.500)
La (0.500, 0.000, 0.000)
La (0.500, 0.000, 0.500)
La (0.500, 0.500, 0.000)
La (0.500, 0.500, 0.500)
Pm (0.009, 0.230, 0.779)
Pm (0.221, 0.451, 0.230)
Pm (0.221, 0.991, 0.770)
Pm (0.230, 0.221, 0.451)
Pm (0.230, 0.779, 0.009)
Pm (0.451, 0.230, 0.221)
Pm (0.549, 0.770, 0.779)
Pm (0.770, 0.221, 0.991)
Pm (0.770, 0.779, 0.549)
Pm (0.779, 0.009, 0.230)
Pm (0.779, 0.549, 0.770)
Pm (0.991, 0.770, 0.221)
Th (0.000, 0.000, 0.000)

=====

Which is the most stable structure? *A* is the most stable.